Material: Sn2SbS6
Method: DFT, PBE-GGA
State: relaxed

Properties
Raw formation energy   -0.106 eV/atom

Cell and atoms, written as extended XYZ:
```
18
Lattice="-1.722 -5.301 2.547 -1.070 -2.327 -5.567 11.072 -3.846 -0.521" Properties=species:S:1:pos:R:3 pbc="T T T"
Sn 3.685 -1.280 -0.173
Sn 7.826 -7.017 -1.943
Sn 0.455 -4.457 -1.597
Sn 7.387 -2.566 -0.347
Sb 0.000 0.000 0.000
Sb 4.140 -5.737 -1.770
S 2.824 -3.608 -1.096
S 1.738 -6.575 -2.270
S 8.016 -6.106 -4.423
S 7.618 -7.923 0.536
S 0.663 -3.551 -4.077
S 0.265 -5.369 0.882
S 6.543 -4.900 -1.270
S 5.457 -7.866 -2.445
S -0.860 -2.350 -0.930
S -1.932 -5.279 -2.090
S 4.341 -4.821 -4.269
S 3.940 -6.653 0.729
```